TiCuSi2 after structural relaxation, computed with PBE-GGA.

It has space group I-42d (No. 122), with a = 6.6700 Å, b = 6.6700 Å, c = 5.3965 Å, α = 90.00°, β = 90.00° and γ = 90.00°. The asymmetric unit holds Ti at (0.0000, 0.0000, 0.0000), Cu at (0.0000, 0.0000, 0.5000) and Si at (0.2147, 0.7500, 0.6250).

The value obtained for the density of states at the Fermi level is 10.1 states/eV per cell. Its energy relative to the elements, uncorrected is 1 kJ/mol of formula units. The calculation puts the total moment at 0.000 μB per atom.